Below is KNp2MnO8 after structural relaxation, with properties calculated at the PBE+U level.

Geometry as extended XYZ:
```
12
Lattice="5.057 0.189 0.079 0.247 5.053 0.077 0.115 0.119 7.054" Properties=species:S:1:pos:R:3 pbc="T T T"
O 3.561 3.525 3.860
O 1.314 3.993 1.568
O 1.858 1.835 3.350
O 4.105 1.368 5.642
O 1.408 4.086 5.640
O 1.810 1.790 7.007
O 4.011 1.274 1.570
O 3.609 3.571 0.202
Np 2.710 2.680 1.779
Np 2.709 2.680 5.431
Mn 0.000 0.000 0.000
K 0.057 0.059 3.527
```

Results
space-group type = No. 12
calculated volume = 14.99 Å³/atom
calculated total energy = -99.666 eV/cell
total moment = 2.0 μB/f.u.
DOS(E_F) = 6.21 states/eV/f.u.